(1)
The following is a GGA-PBE calculation of a relaxed LiSc2NiH crystal, from Alexandria.

```
data_LiSc2NiH
_chemical_formula_sum 'Li1 Sc2 Ni1 H1'
_cell_length_a 4.508
_cell_length_b 4.508
_cell_length_c 3.408
_cell_angle_alpha 90.00
_cell_angle_beta 90.00
_cell_angle_gamma 90.00
_space_group_name_H-M_alt 'P 4/m m m'
_space_group_IT_number 123
_space_group_name_Hall '-P 4 2'
loop_
_atom_site_label
_atom_site_type_symbol
_atom_site_fract_x
_atom_site_fract_y
_atom_site_fract_z
Li1 Li 0.000 0.000 0.000
Sc1 Sc 0.000 0.500 0.500
Ni1 Ni 0.500 0.500 0.000
H1 H 0.000 0.000 0.500
```

The total energy comes out at -5.0598 eV/atom. For the volume, the calculation gives 13.85 Å³/atom. As for the density of states at the Fermi level: 2.33 states/eV per cell.

---

(2)
The following is a GGA-PBE calculation of a relaxed LiSiNi2H crystal, from Alexandria.

```
data_LiSiNi2H
_chemical_formula_sum 'Li1 Si1 Ni2 H1'
_cell_length_a 3.643
_cell_length_b 3.643
_cell_length_c 3.421
_cell_angle_alpha 90.00
_cell_angle_beta 90.00
_cell_angle_gamma 90.00
_space_group_name_H-M_alt 'P 4/m m m'
_space_group_IT_number 123
_space_group_name_Hall '-P 4 2'
loop_
_atom_site_label
_atom_site_type_symbol
_atom_site_fract_x
_atom_site_fract_y
_atom_site_fract_z
Li1 Li 0.000 0.000 0.000
Si1 Si 0.500 0.500 0.000
Ni1 Ni 0.000 0.500 0.500
H1 H 0.000 0.000 0.500
```

The total energy comes out at -4.7849 eV/atom. For the volume, the calculation gives 9.08 Å³/atom. As for the density of states at the Fermi level: 2.04 states/eV per cell.

---

(3)
The following is a GGA-PBE calculation of a relaxed Li2SmNiH8 crystal, from Alexandria.

```
data_Li2SmNiH8
_chemical_formula_sum 'Li2 Sm1 Ni1 H8'
_cell_length_a 4.2535
_cell_length_b 4.2535
_cell_length_c 6.0949
_cell_angle_alpha 90.00
_cell_angle_beta 90.00
_cell_angle_gamma 120.00
_space_group_name_H-M_alt 'P -3 m 1'
_space_group_IT_number 164
_space_group_name_Hall '-P 3 2"'
loop_
_atom_site_label
_atom_site_type_symbol
_atom_site_fract_x
_atom_site_fract_y
_atom_site_fract_z
Li1 Li 0.3333 0.6667 0.3784
Sm1 Sm 0.0000 0.0000 0.0000
Ni1 Ni 0.0000 0.0000 0.5000
H1 H 0.1668 0.3336 0.6543
H2 H 0.3333 0.6667 0.0588
```

The total energy comes out at -3.7679 eV/atom. For the volume, the calculation gives 7.96 Å³/atom. As for the density of states at the Fermi level: 2.11 states/eV per cell.

---

(4)
The following is a GGA-PBE calculation of a relaxed LiNi2SnH crystal, from Alexandria.

```
data_LiNi2SnH
_chemical_formula_sum 'Li1 Ni2 Sn1 H1'
_cell_length_a 3.780
_cell_length_b 3.780
_cell_length_c 3.857
_cell_angle_alpha 90.00
_cell_angle_beta 90.00
_cell_angle_gamma 90.00
_space_group_name_H-M_alt 'P 4/m m m'
_space_group_IT_number 123
_space_group_name_Hall '-P 4 2'
loop_
_atom_site_label
_atom_site_type_symbol
_atom_site_fract_x
_atom_site_fract_y
_atom_site_fract_z
Li1 Li 0.000 0.000 0.000
Ni1 Ni 0.000 0.500 0.500
Sn1 Sn 0.500 0.500 0.000
H1 H 0.000 0.000 0.500
```

The total energy comes out at -4.4111 eV/atom. For the volume, the calculation gives 11.02 Å³/atom. As for the density of states at the Fermi level: 2.98 states/eV per cell.

---

(5)
The following is a GGA-PBE calculation of a relaxed Sr4LiNi3H12 crystal, from Alexandria.

```
data_Sr4LiNi3H12
_chemical_formula_sum 'Sr8 Li2 Ni6 H24'
_cell_length_a 7.439
_cell_length_b 7.439
_cell_length_c 7.439
_cell_angle_alpha 90.00
_cell_angle_beta 90.00
_cell_angle_gamma 90.00
_space_group_name_H-M_alt 'I m -3 m'
_space_group_IT_number 229
_space_group_name_Hall '-I 4 2 3'
loop_
_atom_site_label
_atom_site_type_symbol
_atom_site_fract_x
_atom_site_fract_y
_atom_site_fract_z
Sr1 Sr 0.250 0.250 0.250
Li1 Li 0.000 0.000 0.000
Ni1 Ni 0.000 0.000 0.500
H1 H 0.000 0.000 0.273
H2 H 0.000 0.250 0.500
```

The total energy comes out at -3.7513 eV/atom. For the volume, the calculation gives 10.29 Å³/atom. As for the density of states at the Fermi level: 4.12 states/eV per cell.

---

(6)
The following is a GGA-PBE calculation of a relaxed Sr2LiNiH crystal, from Alexandria.

```
data_Sr2LiNiH
_chemical_formula_sum 'Sr2 Li1 Ni1 H1'
_cell_length_a 5.193
_cell_length_b 5.193
_cell_length_c 4.029
_cell_angle_alpha 90.00
_cell_angle_beta 90.00
_cell_angle_gamma 90.00
_space_group_name_H-M_alt 'P 4/m m m'
_space_group_IT_number 123
_space_group_name_Hall '-P 4 2'
loop_
_atom_site_label
_atom_site_type_symbol
_atom_site_fract_x
_atom_site_fract_y
_atom_site_fract_z
Sr1 Sr 0.000 0.500 0.000
Li1 Li 0.000 0.000 0.500
Ni1 Ni 0.500 0.500 0.500
H1 H 0.000 0.000 0.000
```

The total energy comes out at -2.9275 eV/atom. For the volume, the calculation gives 21.73 Å³/atom. The offset from the most stable computed form is 0.000 eV/atom. As for the density of states at the Fermi level: 2.38 states/eV per cell.

---

(7)
The following is a GGA-PBE calculation of a relaxed Sr3LiNi2H8 crystal, from Alexandria.

```
data_Sr3LiNi2H8
_chemical_formula_sum 'Sr3 Li1 Ni2 H8'
_cell_length_a 5.2818
_cell_length_b 5.2818
_cell_length_c 7.0970
_cell_angle_alpha 90.00
_cell_angle_beta 90.00
_cell_angle_gamma 120.00
_space_group_name_H-M_alt 'P -3 m 1'
_space_group_IT_number 164
_space_group_name_Hall '-P 3 2"'
loop_
_atom_site_label
_atom_site_type_symbol
_atom_site_fract_x
_atom_site_fract_y
_atom_site_fract_z
Sr1 Sr 0.0000 0.0000 0.0000
Sr2 Sr 0.3333 0.6667 0.6736
Li1 Li 0.0000 0.0000 0.5000
Ni1 Ni 0.3333 0.6667 0.2366
H1 H 0.1696 0.3393 0.3270
H2 H 0.3333 0.6667 0.0162
```

The total energy comes out at -3.6469 eV/atom. For the volume, the calculation gives 12.25 Å³/atom. As for the density of states at the Fermi level: 7.62 states/eV per cell.

---

(8)
The following is a GGA-PBE calculation of a relaxed SrLiNiH6 crystal, from Alexandria.

```
data_SrLiNiH6
_chemical_formula_sum 'Sr1 Li1 Ni1 H6'
_cell_length_a 4.6355
_cell_length_b 4.6355
_cell_length_c 4.5098
_cell_angle_alpha 90.00
_cell_angle_beta 90.00
_cell_angle_gamma 120.00
_space_group_name_H-M_alt 'P 3 1 2'
_space_group_IT_number 149
loop_
_space_group_symop_operation_xyz
'x,y,z'
'-y,x-y,z'
'-x+y,-x,z'
'-y,-x,-z'
'-x+y,y,-z'
'x,x-y,-z'
loop_
_atom_site_label
_atom_site_type_symbol
_atom_site_fract_x
_atom_site_fract_y
_atom_site_fract_z
Sr1 Sr 0.0000 0.0000 0.0000
Li1 Li 0.3333 0.6667 0.5000
Ni1 Ni 0.6667 0.3333 0.5000
H1 H 0.5157 0.0407 0.7295
```

The total energy comes out at -3.5650 eV/atom. For the volume, the calculation gives 9.33 Å³/atom. As for the density of states at the Fermi level: 1.83 states/eV per cell.

---

Computed total magnetic moment, in the same sequence as the records: 0.0000, 0.0000, 0.0000, 0.0000, 0.0000, 0.0000, 0.0617, 0.0000 μB/atom.